Version a
Material: SmLu2Mn
Method: DFT, PBE
State: optimized geometry

Values from the calculation:
Size of the total moment ... 2.80 μB per formula unit

a = 3.4128 Å, b = 3.4128 Å, c = 8.8919 Å
α = 90.00°, β = 90.00°, γ = 90.00°
Space group P4/mmm (No. 123)
Symmetry-distinct sites (fractional):
Sm: 0.0000 0.0000 0.0000 x1
Lu: 0.5000 0.5000 0.3082 x2
Mn: 0.0000 0.0000 0.5000 x1

---

Version b
Material: SmLu2Mn
Method: DFT, PBE
State: optimized geometry

Values from the calculation:
Size of the total moment ... 3.04 μB per formula unit

a = 3.3656 Å, b = 3.3656 Å, c = 33.5849 Å
α = 90.00°, β = 90.00°, γ = 120.00°
Space group R-3m (No. 166, hexagonal axes)
Symmetry-distinct sites (fractional):
Sm: 0.0000 0.0000 0.0000 x3
Lu: 0.0000 0.0000 0.4190 x6
Mn: 0.0000 0.0000 0.5000 x3

---

version a has the most favorable energy; the next structure is 424 meV per atom above.

---

Version a
Material: Lu2MnSn
Method: DFT, PBE
State: optimized geometry

Values from the calculation:
Size of the total moment ... 2.96 μB per formula unit

a = 4.6930 Å, b = 4.6930 Å, c = 4.1505 Å
α = 90.00°, β = 90.00°, γ = 90.00°
Space group P4/mmm (No. 123)
Symmetry-distinct sites (fractional):
Lu: 0.0000 0.5000 0.0000 x2
Mn: 0.0000 0.0000 0.5000 x1
Sn: 0.5000 0.5000 0.5000 x1

---

Version b
Material: Lu2MnSn
Method: DFT, PBE
State: optimized geometry

Values from the calculation:
Size of the total moment ... 2.83 μB per formula unit

a = 3.5419 Å, b = 3.5419 Å, c = 7.3171 Å
α = 90.00°, β = 90.00°, γ = 90.00°
Space group P4/mmm (No. 123)
Symmetry-distinct sites (fractional):
Lu: 0.0000 0.0000 0.2269 x2
Mn: 0.5000 0.5000 0.0000 x1
Sn: 0.5000 0.5000 0.5000 x1

---

version b has the most favorable energy; the next structure is 12 meV per atom above.

---

Version a
Material: Lu2MnTc
Method: DFT, PBE
State: optimized geometry

Values from the calculation:
Size of the total moment ... 3.68 μB per formula unit

a = 6.8089 Å, b = 6.8089 Å, c = 6.8089 Å
α = 90.00°, β = 90.00°, γ = 90.00°
Space group Fm-3m (No. 225)
Symmetry-distinct sites (fractional):
Lu: 0.2500 0.2500 0.2500 x8
Mn: 0.0000 0.0000 0.0000 x4
Tc: 0.0000 0.0000 0.5000 x4

---

Version b
Material: Lu2MnTc
Method: DFT, PBE
State: optimized geometry

Values from the calculation:
Size of the total moment ... 3.78 μB per formula unit

a = 3.4707 Å, b = 3.4707 Å, c = 6.6042 Å
α = 90.00°, β = 90.00°, γ = 90.00°
Space group P4/mmm (No. 123)
Symmetry-distinct sites (fractional):
Lu: 0.0000 0.0000 0.2378 x2
Mn: 0.5000 0.5000 0.5000 x1
Tc: 0.5000 0.5000 0.0000 x1

---

version a has the most favorable energy; the next structure is 8 meV per atom above.

---

Version a
Material: Lu2MnTl
Method: DFT, PBE
State: optimized geometry

Values from the calculation:
Size of the total moment ... 3.01 μB per formula unit

a = 3.5796 Å, b = 3.5796 Å, c = 7.3104 Å
α = 90.00°, β = 90.00°, γ = 90.00°
Space group P4/mmm (No. 123)
Symmetry-distinct sites (fractional):
Lu: 0.0000 0.0000 0.2255 x2
Mn: 0.5000 0.5000 0.0000 x1
Tl: 0.5000 0.5000 0.5000 x1

---

Version b
Material: Lu2MnTl
Method: DFT, PBE
State: optimized geometry

Values from the calculation:
Size of the total moment ... 3.38 μB per formula unit

a = 7.2281 Å, b = 7.2281 Å, c = 7.2281 Å
α = 90.00°, β = 90.00°, γ = 90.00°
Space group Fm-3m (No. 225)
Symmetry-distinct sites (fractional):
Lu: 0.2500 0.2500 0.2500 x8
Mn: 0.0000 0.0000 0.0000 x4
Tl: 0.0000 0.0000 0.5000 x4

---

version a has the most favorable energy; the next structure is 101 meV per atom above.